1.
LiAlTl, relaxed, DFT PBE-GGA; polymorph energy (0 for the lowest one) = 76 meV/atom; DOS(E_F) = 1.85 states/eV/f.u.; space-group type = F-43m (216); M_tot = 0.00 Bohr magnetons per cell; VASP energy = -7.844 eV for the cell shown
1.0
0.000 3.255 3.255
3.255 0.000 3.255
3.255 3.255 0.000
Li Al Tl
1 1 1
Direct
0.000 0.000 0.000
0.500 0.500 0.500
0.750 0.750 0.750

---

2.
Li3AlTl, relaxed, DFT PBE-GGA; polymorph energy (0 for the lowest one) = 0 meV/atom; DOS(E_F) = 1.95 states/eV/f.u.; space-group type = Cmcm (63); M_tot = 0.00 Bohr magnetons per cell; VASP energy = -23.286 eV for the cell shown
1.0
4.174 -5.838 0.000
4.174 5.838 0.000
0.000 0.000 4.553
Li Al Tl
6 2 2
Direct
0.000 0.000 0.000
0.000 0.000 0.500
0.172 0.477 0.750
0.477 0.172 0.250
0.523 0.828 0.750
0.828 0.523 0.250
0.443 0.557 0.250
0.557 0.443 0.750
0.213 0.787 0.250
0.787 0.213 0.750

---

3.
LiAl2Tl, relaxed, DFT PBE-GGA; polymorph energy (0 for the lowest one) = 122 meV/atom; DOS(E_F) = 1.19 states/eV/f.u.; space-group type = R-3m (166); M_tot = 0.00 Bohr magnetons per cell; VASP energy = -11.171 eV for the cell shown
1.0
1.590 0.918 9.416
-1.590 0.918 9.416
0.000 -1.836 9.416
Li Al Tl
1 2 1
Direct
0.000 0.000 0.000
0.256 0.256 0.256
0.744 0.744 0.744
0.500 0.500 0.500

---

4.
Li5AlTl4, relaxed, DFT PBE-GGA; polymorph energy (0 for the lowest one) = 0 meV/atom; DOS(E_F) = 3.17 states/eV/f.u.; space-group type = P4/mmm (123); M_tot = 0.00 Bohr magnetons per cell; VASP energy = -24.622 eV for the cell shown
1.0
3.432 0.000 0.000
0.000 3.432 0.000
0.000 0.000 16.969
Li Al Tl
5 1 4
Direct
0.000 0.000 0.000
0.000 0.000 0.213
0.000 0.000 0.414
0.000 0.000 0.586
0.000 0.000 0.787
0.500 0.500 0.500
0.500 0.500 0.106
0.500 0.500 0.317
0.500 0.500 0.683
0.500 0.500 0.894

---

5.
Li3AlTl2, relaxed, DFT PBE-GGA; DOS(E_F) = 2.32 states/eV/f.u.; space-group type = Ibam (72); M_tot = 0.00 Bohr magnetons per cell; VASP energy = -29.677 eV for the cell shown
1.0
-2.925 7.351 2.858
2.925 -7.351 2.858
2.925 7.351 -2.858
Li Al Tl
6 2 4
Direct
0.152 0.714 0.867
0.250 0.250 0.000
0.348 0.214 0.562
0.652 0.786 0.438
0.750 0.750 0.000
0.848 0.286 0.133
0.250 0.750 0.500
0.750 0.250 0.500
0.152 0.217 0.368
0.348 0.717 0.065
0.652 0.283 0.935
0.848 0.783 0.632

---

6.
LiAl2Tl, relaxed, DFT PBE-GGA; polymorph energy (0 for the lowest one) = 10 meV/atom; DOS(E_F) = 1.31 states/eV/f.u.; space-group type = P4/mmm (123); M_tot = 0.00 Bohr magnetons per cell; VASP energy = -11.618 eV for the cell shown
1.0
4.089 0.000 0.000
0.000 4.089 0.000
0.000 0.000 4.651
Li Al Tl
1 2 1
Direct
0.000 0.000 0.000
0.000 0.500 0.500
0.500 0.000 0.500
0.500 0.500 0.000

---

7.
Li15AlTl4, relaxed, DFT PBE-GGA; DOS(E_F) = 12.74 states/eV/f.u.; space-group type = P4/mmm (123); M_tot = 0.00 Bohr magnetons per cell; VASP energy = -44.939 eV for the cell shown
1.0
4.082 0.000 0.000
0.000 4.082 0.000
0.000 0.000 22.493
Li Al Tl
15 1 4
Direct
0.000 0.000 0.000
0.000 0.000 0.195
0.000 0.000 0.398
0.000 0.000 0.602
0.000 0.000 0.805
0.000 0.500 0.094
0.000 0.500 0.296
0.000 0.500 0.500
0.000 0.500 0.704
0.000 0.500 0.906
0.500 0.000 0.094
0.500 0.000 0.296
0.500 0.000 0.500
0.500 0.000 0.704
0.500 0.000 0.906
0.500 0.500 0.000
0.500 0.500 0.195
0.500 0.500 0.398
0.500 0.500 0.602
0.500 0.500 0.805

---

8.
LiAl2Tl, relaxed, DFT PBE-GGA; polymorph energy (0 for the lowest one) = 0 meV/atom; DOS(E_F) = 0.80 states/eV/f.u.; space-group type = P4mm (99); M_tot = 0.00 Bohr magnetons per cell; VASP energy = -11.657 eV for the cell shown
1.0
3.213 0.000 0.000
0.000 3.213 0.000
0.000 0.000 7.837
Li Al Tl
1 2 1
Direct
0.000 0.000 0.000
0.000 0.000 0.567
0.500 0.500 0.772
0.500 0.500 0.280

---

9.
Li5AlTl4, relaxed, DFT PBE-GGA; polymorph energy (0 for the lowest one) = 17 meV/atom; DOS(E_F) = 3.22 states/eV/f.u.; space-group type = C2/m (12); M_tot = 0.00 Bohr magnetons per cell; VASP energy = -24.452 eV for the cell shown
1.0
7.701 -2.352 0.000
7.701 2.352 0.000
-1.856 0.000 5.637
Li Al Tl
5 1 4
Direct
0.000 0.000 0.000
0.207 0.207 0.315
0.400 0.400 0.137
0.600 0.600 0.863
0.793 0.793 0.685
0.000 0.000 0.500
0.197 0.197 0.804
0.405 0.405 0.652
0.595 0.595 0.348
0.803 0.803 0.196

---

10.
Li3AlTl, relaxed, DFT PBE-GGA; polymorph energy (0 for the lowest one) = 327 meV/atom; DOS(E_F) = 3.74 states/eV/f.u.; space-group type = Pm-3m (221); M_tot = 0.00 Bohr magnetons per cell; VASP energy = -10.010 eV for the cell shown
1.0
5.040 0.000 0.000
0.000 5.040 0.000
0.000 0.000 5.040
Li Al Tl
3 1 1
Direct
0.000 0.000 0.500
0.000 0.500 0.000
0.500 0.000 0.000
0.500 0.500 0.500
0.000 0.000 0.000

---

11.
LiAl2Tl, relaxed, DFT PBE-GGA; polymorph energy (0 for the lowest one) = 4 meV/atom; DOS(E_F) = 1.66 states/eV/f.u.; space-group type = Pm (6); M_tot = 0.00 Bohr magnetons per cell; VASP energy = -11.643 eV for the cell shown
1.0
3.234 0.000 0.000
0.000 4.032 0.000
-0.038 0.000 5.978
Li Al Tl
1 2 1
Direct
0.000 0.000 0.000
0.496 0.500 0.258
0.998 0.000 0.456
0.500 0.500 0.756

---

12.
Li4AlTl, relaxed, DFT PBE-GGA; polymorph energy (0 for the lowest one) = 0 meV/atom; DOS(E_F) = 2.77 states/eV/f.u.; space-group type = P6/mmm (191); M_tot = 0.00 Bohr magnetons per cell; VASP energy = -14.761 eV for the cell shown
1.0
4.629 0.000 0.000
-2.315 4.009 0.000
0.000 0.000 5.608
Li Al Tl
4 1 1
Direct
0.333 0.667 0.242
0.333 0.667 0.758
0.667 0.333 0.242
0.667 0.333 0.758
0.000 0.000 0.000
0.000 0.000 0.500